Below is crystalline NbAlV2H at its relaxed geometry, with properties calculated at the PBE level.

Computed properties:
For the final energy, the calculation gives -7.258 eV/atom. Its theoretical density is 5889 kg/m³.

a b c (Å): 3.8375 3.8375 4.2658
angles (deg): 90.00 90.00 90.00
Sites, in units of the cell vectors:
H1 0.0000 0.0000 0.0000
V1 0.5000 0.0000 0.0000
Nb1 0.0000 0.0000 0.5000
Al1 0.5000 0.5000 0.5000
V2 0.0000 0.5000 0.0000